[1]
Here is crystalline LaSc2Ir at its relaxed geometry from Alexandria. Energies are from PBE-GGA.

Lattice parameters (Å, degrees): 10.2944 10.2944 10.2944 19.77 19.77 19.77
Closest atoms and distances in Å follow each position.
Positions (direct):
Ir (0.5000, 0.5000, 0.5000)  6 Sc 2.61
La (0.0000, 0.0000, 0.0000)  2 Sc 3.42, 6 La 3.53
Sc (0.1131, 0.1131, 0.1131)  3 Ir 2.61
Sc (0.8869, 0.8869, 0.8869)  3 Ir 2.61

Output
- Electronic total energy: -27.108 eV per formula unit
- Excess energy over the best structure of this formula in the dataset: 0.327 eV per atom
- Symmetry: No. 166
- Formation energy: -0.164 eV per atom


[2]
Here is crystalline Cd12Ag6Hg at its relaxed geometry from Alexandria. Energies are from PBE-GGA.

Lattice parameters (Å, degrees): 7.8616 7.8616 7.8616 106.14 106.14 106.14
Closest atoms and distances in Å follow each position.
Positions (direct):
Cd (0.1919, 0.5688, 0.4715)  3 Ag 2.91-3.14, 6 Cd 2.95-3.11
Cd (0.4715, 0.1919, 0.5688)  3 Ag 2.91-3.14, 6 Cd 2.95-3.11
Cd (0.8081, 0.4312, 0.5285)  3 Ag 2.91-3.14, 6 Cd 2.95-3.11
Cd (0.4312, 0.5285, 0.8081)  3 Ag 2.91-3.14, 6 Cd 2.95-3.11
Cd (0.5285, 0.8081, 0.4312)  3 Ag 2.91-3.14, 6 Cd 2.95-3.11
Cd (0.8565, 0.1663, 0.7278)  1 Hg 2.93, 5 Cd 2.98-3.21, 5 Ag 2.98-3.13
Cd (0.1435, 0.8337, 0.2722)  1 Hg 2.93, 5 Cd 2.98-3.21, 5 Ag 2.98-3.13
Cd (0.1663, 0.7278, 0.8565)  1 Hg 2.93, 5 Cd 2.98-3.21, 5 Ag 2.98-3.13
Cd (0.5688, 0.4715, 0.1919)  3 Ag 2.91-3.14, 6 Cd 2.95-3.11
Cd (0.2722, 0.1435, 0.8337)  1 Hg 2.93, 5 Cd 2.98-3.21, 5 Ag 2.98-3.13
Cd (0.7278, 0.8565, 0.1663)  1 Hg 2.93, 5 Cd 2.98-3.21, 5 Ag 2.98-3.13
Cd (0.8337, 0.2722, 0.1435)  1 Hg 2.93, 5 Cd 2.98-3.21, 5 Ag 2.98-3.13
Ag (0.1840, 0.4726, 0.0750)  8 Cd 2.91-3.14, 1 Ag 3.00
Ag (0.8160, 0.5274, 0.9250)  8 Cd 2.91-3.14, 1 Ag 3.00
Ag (0.4726, 0.0750, 0.1840)  8 Cd 2.91-3.14, 1 Ag 3.00
Ag (0.5274, 0.9250, 0.8160)  8 Cd 2.91-3.14, 1 Ag 3.00
Ag (0.9250, 0.8160, 0.5274)  8 Cd 2.91-3.14, 1 Ag 3.00
Ag (0.0750, 0.1840, 0.4726)  8 Cd 2.91-3.14, 1 Ag 3.00
Hg (0.0000, 0.0000, 0.0000)  6 Cd 2.93

Output
- Electronic total energy: -27.916 eV per formula unit
- Excess energy over the best structure of this formula in the dataset: 0.000 eV per atom
- Symmetry: No. 148
- Formation energy: 0.025 eV per atom


[3]
Here is crystalline LiTlI2O at its relaxed geometry from Alexandria. Energies are from PBE-GGA.

Lattice parameters (Å, degrees): 6.2084 6.2084 4.1392 90.00 90.00 90.00
Closest atoms and distances in Å follow each position.
Positions (direct):
I (0.0000, 0.5000, 0.0000)  2 Tl 3.10
I (0.5000, 0.0000, 0.0000)  2 Tl 3.10
Tl (0.0000, 0.0000, 0.0000)  2 O 2.07
Li (0.5000, 0.5000, 0.5000)  8 I 3.73, 2 Li 4.14
O (0.0000, 0.0000, 0.5000)  2 Tl 2.07

Output
- Electronic total energy: -14.255 eV per formula unit
- Formation energy from raw total energies: -0.383 eV per atom
- Excess energy over the best structure of this formula in the dataset: 0.009 eV per atom
- Symmetry: No. 123


[4]
Here is crystalline Cs3Pa2HgO9 at its relaxed geometry from Alexandria. Energies are from PBE-GGA.

Lattice parameters (Å, degrees): 6.2993 6.2993 7.7217 90.00 90.00 120.00
Closest atoms and distances in Å follow each position.
Positions (direct):
O (0.1744, 0.8256, 0.3197)  1 Pa 2.09
O (0.8256, 0.1744, 0.6803)  1 Pa 2.09
O (0.8256, 0.6512, 0.6803)  1 Pa 2.09
O (0.5000, 0.5000, 0.0000)  2 Pa 2.24
O (0.0000, 0.5000, 0.0000)  2 Pa 2.24
O (0.6512, 0.8256, 0.3197)  1 Pa 2.09
O (0.3488, 0.1744, 0.6803)  1 Pa 2.09
O (0.1744, 0.3488, 0.3197)  1 Pa 2.09
O (0.5000, 0.0000, 0.0000)  2 Pa 2.24
Pa (0.6667, 0.3333, 0.8315)  6 O 2.09-2.24
Pa (0.3333, 0.6667, 0.1685)  6 O 2.09-2.24
Cs (0.0000, 0.0000, 0.0000)  12 O 3.12-3.15
Cs (0.6667, 0.3333, 0.3408)  12 O 3.14-3.20
Cs (0.3333, 0.6667, 0.6592)  12 O 3.14-3.20
Hg (0.0000, 0.0000, 0.5000)  6 O 2.36

Output
- Electronic total energy: -97.795 eV per formula unit
- Formation energy from raw total energies: -2.088 eV per atom
- Symmetry: No. 164